The following is a DFT calculation (PBE) of a geometry-optimized Li3NbPt4 structure.

volume: 14.482 Å³ per atom
ΔE_f: -0.616 eV/atom
raw total energy: -5.6130 eV/atom
size of the total moment: 0.0 μB/f.u.

```
data_Li3NbPt4
_chemical_formula_sum 'Li6 Nb2 Pt8'
_symmetry_space_group_name_H-M 'C 1 2/m 1'
_symmetry_Int_Tables_number 12
_symmetry_space_group_name_Hall '-C 2y'
_cell_length_a 5.771
_cell_length_b 5.767
_cell_length_c 7.531
_cell_angle_alpha 90.00
_cell_angle_beta 112.42
_cell_angle_gamma 90.00
loop_
_atom_site_label
_atom_site_type_symbol
_atom_site_fract_x
_atom_site_fract_y
_atom_site_fract_z
Li1 Li 0.000 0.000 0.000
Li2 Li 0.245 0.000 0.490
Nb1 Nb 0.000 0.500 0.000
Pt1 Pt 0.125 0.250 0.749
```



The following is a DFT calculation (PBE) of a geometry-optimized Li2NbPt9 structure.

volume: 15.110 Å³ per atom
ΔE_f: -0.510 eV/atom
raw total energy: -6.1990 eV/atom
size of the total moment: 0.0 μB/f.u.

```
data_Li2NbPt9
_chemical_formula_sum 'Li2 Nb1 Pt9'
_symmetry_space_group_name_H-M 'P 4/m m m'
_symmetry_Int_Tables_number 123
_symmetry_space_group_name_Hall '-P 4 2'
_cell_length_a 3.934
_cell_length_b 3.934
_cell_length_c 11.719
_cell_angle_alpha 90.00
_cell_angle_beta 90.00
_cell_angle_gamma 90.00
loop_
_atom_site_label
_atom_site_type_symbol
_atom_site_fract_x
_atom_site_fract_y
_atom_site_fract_z
Li1 Li 0.000 0.000 0.159
Nb1 Nb 0.000 0.000 0.500
Pt1 Pt 0.000 0.500 0.000
Pt2 Pt 0.000 0.500 0.330
Pt3 Pt 0.500 0.500 0.165
Pt4 Pt 0.500 0.500 0.500
```



The following is a DFT calculation (PBE) of a geometry-optimized LiNbPt2 structure.

volume: 16.706 Å³ per atom
ΔE_f: -0.127 eV/atom
raw total energy: -6.1438 eV/atom
size of the total moment: 0.0 μB/f.u.

```
data_LiNbPt2
_chemical_formula_sum 'Li4 Nb4 Pt8'
_symmetry_space_group_name_H-M 'I -4 2 d'
_symmetry_Int_Tables_number 122
_symmetry_space_group_name_Hall 'I -4 2bw'
_cell_length_a 6.957
_cell_length_b 6.957
_cell_length_c 5.522
_cell_angle_alpha 90.00
_cell_angle_beta 90.00
_cell_angle_gamma 90.00
loop_
_atom_site_label
_atom_site_type_symbol
_atom_site_fract_x
_atom_site_fract_y
_atom_site_fract_z
Li1 Li 0.000 0.000 0.000
Nb1 Nb 0.000 0.000 0.500
Pt1 Pt 0.244 0.250 0.125
```



The following is a DFT calculation (PBE) of a geometry-optimized LiNbPt2 structure.

volume: 15.938 Å³ per atom
ΔE_f: -0.541 eV/atom
raw total energy: -6.5571 eV/atom
size of the total moment: 0.0 μB/f.u.

```
data_LiNbPt2
_chemical_formula_sum 'Li1 Nb1 Pt2'
_symmetry_space_group_name_H-M 'P 4/m m m'
_symmetry_Int_Tables_number 123
_symmetry_space_group_name_Hall '-P 4 2'
_cell_length_a 4.788
_cell_length_b 4.788
_cell_length_c 2.781
_cell_angle_alpha 90.00
_cell_angle_beta 90.00
_cell_angle_gamma 90.00
loop_
_atom_site_label
_atom_site_type_symbol
_atom_site_fract_x
_atom_site_fract_y
_atom_site_fract_z
Li1 Li 0.000 0.000 0.000
Nb1 Nb 0.500 0.500 0.000
Pt1 Pt 0.000 0.500 0.500
```



The following is a DFT calculation (PBE) of a geometry-optimized Li2NbPt structure.

volume: 13.792 Å³ per atom
ΔE_f: 0.067 eV/atom
raw total energy: -4.9175 eV/atom
size of the total moment: 0.0 μB/f.u.
relative energy among the computed polymorphs: 0.23 eV per formula unit

```
data_Li2NbPt
_chemical_formula_sum 'Li8 Nb4 Pt4'
_symmetry_space_group_name_H-M 'F m -3 m'
_symmetry_Int_Tables_number 225
_symmetry_space_group_name_Hall '-F 4 2 3'
_cell_length_a 6.043
_cell_length_b 6.043
_cell_length_c 6.043
_cell_angle_alpha 90.00
_cell_angle_beta 90.00
_cell_angle_gamma 90.00
loop_
_atom_site_label
_atom_site_type_symbol
_atom_site_fract_x
_atom_site_fract_y
_atom_site_fract_z
Li1 Li 0.250 0.250 0.250
Nb1 Nb 0.000 0.000 0.000
Pt1 Pt 0.000 0.000 0.500
```



The following is a DFT calculation (PBE) of a geometry-optimized LiNb2Pt8 structure.

volume: 16.452 Å³ per atom
ΔE_f: -0.499 eV/atom
raw total energy: -6.8969 eV/atom
size of the total moment: 0.0 μB/f.u.

```
data_LiNb2Pt8
_chemical_formula_sum 'Li2 Nb4 Pt16'
_symmetry_space_group_name_H-M 'I m m m'
_symmetry_Int_Tables_number 71
_symmetry_space_group_name_Hall '-I 2 2'
_cell_length_a 3.921
_cell_length_b 7.970
_cell_length_c 11.581
_cell_angle_alpha 90.00
_cell_angle_beta 90.00
_cell_angle_gamma 90.00
loop_
_atom_site_label
_atom_site_type_symbol
_atom_site_fract_x
_atom_site_fract_y
_atom_site_fract_z
Li1 Li 0.000 0.000 0.000
Nb1 Nb 0.000 0.000 0.334
Pt1 Pt 0.000 0.236 0.500
Pt2 Pt 0.000 0.258 0.162
Pt3 Pt 0.000 0.500 0.334
```



The following is a DFT calculation (PBE) of a geometry-optimized LiNb2Pt3 structure.

volume: 15.394 Å³ per atom
ΔE_f: -0.646 eV/atom
raw total energy: -7.3424 eV/atom
size of the total moment: 0.0 μB/f.u.

```
data_LiNb2Pt3
_chemical_formula_sum 'Li1 Nb2 Pt3'
_symmetry_space_group_name_H-M 'P 4/m m m'
_symmetry_Int_Tables_number 123
_symmetry_space_group_name_Hall '-P 4 2'
_cell_length_a 2.868
_cell_length_b 2.868
_cell_length_c 11.228
_cell_angle_alpha 90.00
_cell_angle_beta 90.00
_cell_angle_gamma 90.00
loop_
_atom_site_label
_atom_site_type_symbol
_atom_site_fract_x
_atom_site_fract_y
_atom_site_fract_z
Li1 Li 0.000 0.000 0.000
Nb1 Nb 0.000 0.000 0.317
Pt1 Pt 0.500 0.500 0.146
Pt2 Pt 0.500 0.500 0.500
```



The following is a DFT calculation (PBE) of a geometry-optimized LiNbPt structure.

volume: 17.626 Å³ per atom
ΔE_f: -0.276 eV/atom
raw total energy: -6.2845 eV/atom
size of the total moment: 0.0 μB/f.u.
relative energy among the computed polymorphs: 0.19 eV per formula unit

```
data_LiNbPt
_chemical_formula_sum 'Li8 Nb8 Pt8'
_symmetry_space_group_name_H-M 'F m m m'
_symmetry_Int_Tables_number 69
_symmetry_space_group_name_Hall '-F 2 2'
_cell_length_a 5.349
_cell_length_b 7.000
_cell_length_c 11.298
_cell_angle_alpha 90.00
_cell_angle_beta 90.00
_cell_angle_gamma 90.00
loop_
_atom_site_label
_atom_site_type_symbol
_atom_site_fract_x
_atom_site_fract_y
_atom_site_fract_z
Li1 Li 0.000 0.167 0.000
Nb1 Nb 0.250 0.250 0.250
Pt1 Pt 0.000 0.000 0.385
```



The following is a DFT calculation (PBE) of a geometry-optimized Li2NbPt2 structure.

volume: 14.143 Å³ per atom
ΔE_f: -0.467 eV/atom
raw total energy: -5.6627 eV/atom
size of the total moment: 0.0 μB/f.u.
relative energy among the computed polymorphs: 0.00 eV per formula unit

```
data_Li2NbPt2
_chemical_formula_sum 'Li4 Nb2 Pt4'
_symmetry_space_group_name_H-M 'P 4/m b m'
_symmetry_Int_Tables_number 127
_symmetry_space_group_name_Hall '-P 4 2ab'
_cell_length_a 7.137
_cell_length_b 7.137
_cell_length_c 2.777
_cell_angle_alpha 90.00
_cell_angle_beta 90.00
_cell_angle_gamma 90.00
loop_
_atom_site_label
_atom_site_type_symbol
_atom_site_fract_x
_atom_site_fract_y
_atom_site_fract_z
Li1 Li 0.106 0.394 0.000
Nb1 Nb 0.000 0.000 0.000
Pt1 Pt 0.194 0.694 0.500
```



The following is a DFT calculation (PBE) of a geometry-optimized LiNb2Pt structure.

volume: 17.986 Å³ per atom
ΔE_f: 0.192 eV/atom
raw total energy: -6.8314 eV/atom
size of the total moment: 0.0 μB/f.u.

```
data_LiNb2Pt
_chemical_formula_sum 'Li4 Nb8 Pt4'
_symmetry_space_group_name_H-M 'I -4 2 d'
_symmetry_Int_Tables_number 122
_symmetry_space_group_name_Hall 'I -4 2bw'
_cell_length_a 7.451
_cell_length_b 7.451
_cell_length_c 5.183
_cell_angle_alpha 90.00
_cell_angle_beta 90.00
_cell_angle_gamma 90.00
loop_
_atom_site_label
_atom_site_type_symbol
_atom_site_fract_x
_atom_site_fract_y
_atom_site_fract_z
Li1 Li 0.000 0.000 0.000
Nb1 Nb 0.227 0.250 0.625
Pt1 Pt 0.000 0.000 0.500
```



The following is a DFT calculation (PBE) of a geometry-optimized Li2NbPt5 structure.

volume: 14.608 Å³ per atom
ΔE_f: -0.575 eV/atom
raw total energy: -6.0875 eV/atom
size of the total moment: 0.0 μB/f.u.

```
data_Li2NbPt5
_chemical_formula_sum 'Li4 Nb2 Pt10'
_symmetry_space_group_name_H-M 'I 4/m m m'
_symmetry_Int_Tables_number 139
_symmetry_space_group_name_Hall '-I 4 2'
_cell_length_a 4.033
_cell_length_b 4.033
_cell_length_c 14.367
_cell_angle_alpha 90.00
_cell_angle_beta 90.00
_cell_angle_gamma 90.00
loop_
_atom_site_label
_atom_site_type_symbol
_atom_site_fract_x
_atom_site_fract_y
_atom_site_fract_z
Li1 Li 0.000 0.000 0.248
Nb1 Nb 0.000 0.000 0.500
Pt1 Pt 0.000 0.000 0.000
Pt2 Pt 0.000 0.500 0.134
```



The following is a DFT calculation (PBE) of a geometry-optimized LiNb2Pt6 structure.

volume: 17.641 Å³ per atom
ΔE_f: -0.376 eV/atom
raw total energy: -6.8537 eV/atom
size of the total moment: 0.0 μB/f.u.
relative energy among the computed polymorphs: 1.29 eV per formula unit

```
data_LiNb2Pt6
_chemical_formula_sum 'Li2 Nb4 Pt12'
_symmetry_space_group_name_H-M 'I m m m'
_symmetry_Int_Tables_number 71
_symmetry_space_group_name_Hall '-I 2 2'
_cell_length_a 3.876
_cell_length_b 6.762
_cell_length_c 12.116
_cell_angle_alpha 90.00
_cell_angle_beta 90.00
_cell_angle_gamma 90.00
loop_
_atom_site_label
_atom_site_type_symbol
_atom_site_fract_x
_atom_site_fract_y
_atom_site_fract_z
Li1 Li 0.000 0.000 0.000
Nb1 Nb 0.000 0.000 0.350
Pt1 Pt 0.000 0.229 0.166
Pt2 Pt 0.000 0.276 0.500
```